Arrangement 1

## AlGaTcPd (GGA-PBE)

Data for AlGaTcPd after structural relaxation.

Values from the calculation:
- N(E_F) (states/eV/cell) = 8.64

Cell and atoms, written as CIF:
```
data_AlGaTcPd
_chemical_formula_sum 'Al4 Ga4 Tc4 Pd4'
_space_group_name_H-M_alt 'F -4 3 m'
_space_group_IT_number 216
_space_group_name_Hall 'F -4 2 3'
_cell_length_a 6.1157
_cell_length_b 6.1157
_cell_length_c 6.1157
_cell_angle_alpha 90.00
_cell_angle_beta 90.00
_cell_angle_gamma 90.00
loop_
_atom_site_label
_atom_site_fract_x
_atom_site_fract_y
_atom_site_fract_z
Al1 0.0000 0.0000 0.0000
Ga1 0.0000 0.0000 0.5000
Tc1 0.2500 0.2500 0.2500
Pd1 0.2500 0.2500 0.7500
```

Arrangement 2

## AlGaTcPd (GGA-PBE)

Data for AlGaTcPd after structural relaxation.

Values from the calculation:
- N(E_F) (states/eV/cell) = 2.25

Cell and atoms, written as CIF:
```
data_AlGaTcPd
_chemical_formula_sum 'Al1 Ga1 Tc1 Pd1'
_space_group_name_H-M_alt 'P m m m'
_space_group_IT_number 47
_cell_length_a 3.2009
_cell_length_b 4.2069
_cell_length_c 4.2601
_cell_angle_alpha 90.00
_cell_angle_beta 90.00
_cell_angle_gamma 90.00
loop_
_space_group_symop_operation_xyz
'x,y,z'
'-x,-y,-z'
'-x,-y,z'
'x,y,-z'
'x,-y,-z'
'-x,y,z'
'-x,y,-z'
'x,-y,z'
loop_
_atom_site_label
_atom_site_fract_x
_atom_site_fract_y
_atom_site_fract_z
Al1 0.0000 0.0000 0.0000
Ga1 0.0000 0.5000 0.5000
Tc1 0.5000 0.0000 0.5000
Pd1 0.5000 0.5000 0.0000
```

According to the calculations, the structures order from most to least stable as arrangement 2, arrangement 1.

Arrangement 1

## PmAlGa2 (GGA-PBE)

Data for PmAlGa2 after structural relaxation.

Values from the calculation:
- N(E_F) (states/eV/cell) = 1.24

Cell and atoms, written as CIF:
```
data_PmAlGa2
_chemical_formula_sum 'Pm1 Al1 Ga2'
_space_group_name_H-M_alt 'P 4/m m m'
_space_group_IT_number 123
_space_group_name_Hall '-P 4 2'
_cell_length_a 4.3791
_cell_length_b 4.3791
_cell_length_c 4.2784
_cell_angle_alpha 90.00
_cell_angle_beta 90.00
_cell_angle_gamma 90.00
loop_
_atom_site_label
_atom_site_fract_x
_atom_site_fract_y
_atom_site_fract_z
Pm1 0.0000 0.0000 0.0000
Al1 0.5000 0.5000 0.0000
Ga1 0.0000 0.5000 0.5000
```

Arrangement 2

## PmAlGa2 (GGA-PBE)

Data for PmAlGa2 after structural relaxation.

Values from the calculation:
- N(E_F) (states/eV/cell) = 12.25

Cell and atoms, written as CIF:
```
data_PmAlGa2
_chemical_formula_sum 'Pm4 Al4 Ga8'
_space_group_name_H-M_alt 'F m -3 m'
_space_group_IT_number 225
_space_group_name_Hall '-F 4 2 3'
_cell_length_a 6.9606
_cell_length_b 6.9606
_cell_length_c 6.9606
_cell_angle_alpha 90.00
_cell_angle_beta 90.00
_cell_angle_gamma 90.00
loop_
_atom_site_label
_atom_site_fract_x
_atom_site_fract_y
_atom_site_fract_z
Pm1 0.0000 0.0000 0.0000
Al1 0.0000 0.0000 0.5000
Ga1 0.2500 0.2500 0.2500
```

According to the calculations, the structures order from most to least stable as arrangement 1, arrangement 2.

Arrangement 1

## PmAlGa4 (GGA-PBE)

Data for PmAlGa4 after structural relaxation.

Values from the calculation:
- N(E_F) (states/eV/cell) = 20.70

Cell and atoms, written as CIF:
```
data_PmAlGa4
_chemical_formula_sum 'Pm4 Al4 Ga16'
_space_group_name_H-M_alt 'F -4 3 m'
_space_group_IT_number 216
_space_group_name_Hall 'F -4 2 3'
_cell_length_a 7.8400
_cell_length_b 7.8400
_cell_length_c 7.8400
_cell_angle_alpha 90.00
_cell_angle_beta 90.00
_cell_angle_gamma 90.00
loop_
_atom_site_label
_atom_site_fract_x
_atom_site_fract_y
_atom_site_fract_z
Pm1 0.0000 0.0000 0.0000
Al1 0.2500 0.2500 0.2500
Ga1 0.1247 0.1247 0.6247
```

Arrangement 2

## PmAlGa4 (GGA-PBE)

Data for PmAlGa4 after structural relaxation.

Values from the calculation:
- N(E_F) (states/eV/cell) = 5.14

Cell and atoms, written as CIF:
```
data_PmAlGa4
_chemical_formula_sum 'Pm2 Al2 Ga8'
_space_group_name_H-M_alt 'C 1 2/m 1'
_space_group_IT_number 12
_cell_length_a 5.9426
_cell_length_b 9.0217
_cell_length_c 4.9594
_cell_angle_alpha 90.00
_cell_angle_beta 110.11
_cell_angle_gamma 90.00
loop_
_space_group_symop_operation_xyz
'x,y,z'
'-x,-y,-z'
'-x,y,-z'
'x,-y,z'
'x+1/2,y+1/2,z'
'-x+1/2,-y+1/2,-z'
'-x+1/2,y+1/2,-z'
'x+1/2,-y+1/2,z'
loop_
_atom_site_label
_atom_site_fract_x
_atom_site_fract_y
_atom_site_fract_z
Pm1 0.0000 0.0000 0.0000
Al1 0.0000 0.5000 0.5000
Ga1 0.0000 0.2044 0.5000
Ga2 0.0000 0.3486 0.0000
```

According to the calculations, the structures order from most to least stable as arrangement 1, arrangement 2.

Arrangement 1

## Pm2AlGa3 (GGA-PBE)

Data for Pm2AlGa3 after structural relaxation.

Values from the calculation:
- N(E_F) (states/eV/cell) = 19.14

Cell and atoms, written as CIF:
```
data_Pm2AlGa3
_chemical_formula_sum 'Pm16 Al8 Ga24'
_space_group_name_H-M_alt 'F m m m'
_space_group_IT_number 69
_space_group_name_Hall '-F 2 2'
_cell_length_a 8.4818
_cell_length_b 8.5863
_cell_length_c 14.8820
_cell_angle_alpha 90.00
_cell_angle_beta 90.00
_cell_angle_gamma 90.00
loop_
_atom_site_label
_atom_site_fract_x
_atom_site_fract_y
_atom_site_fract_z
Pm1 0.2472 0.0000 0.0000
Pm2 0.2500 0.2500 0.2500
Al1 0.0000 0.0000 0.3337
Ga1 0.0000 0.0000 0.1667
Ga2 0.0000 0.2500 0.0831
```

Arrangement 2

## Pm2AlGa3 (GGA-PBE)

Data for Pm2AlGa3 after structural relaxation.

Values from the calculation:
- N(E_F) (states/eV/cell) = 5.70

Cell and atoms, written as CIF:
```
data_Pm2AlGa3
_chemical_formula_sum 'Pm4 Al2 Ga6'
_space_group_name_H-M_alt 'I m m 2'
_space_group_IT_number 44
_cell_length_a 4.1482
_cell_length_b 4.3492
_cell_length_c 15.0193
_cell_angle_alpha 90.00
_cell_angle_beta 90.00
_cell_angle_gamma 90.00
loop_
_space_group_symop_operation_xyz
'x,y,z'
'-x,-y,z'
'-x,y,z'
'x,-y,z'
'x+1/2,y+1/2,z+1/2'
'-x+1/2,-y+1/2,z+1/2'
'-x+1/2,y+1/2,z+1/2'
'x+1/2,-y+1/2,z+1/2'
loop_
_atom_site_label
_atom_site_fract_x
_atom_site_fract_y
_atom_site_fract_z
Pm1 0.0000 0.0000 0.0000
Pm2 0.0000 0.5000 0.2594
Al1 0.0000 0.0000 0.5883
Ga1 0.0000 0.0000 0.4224
Ga2 0.0000 0.5000 0.6712
Ga3 0.0000 0.5000 0.8361
```

According to the calculations, the structures order from most to least stable as arrangement 1, arrangement 2.

Arrangement 1

## PmAl3Ga3 (GGA-PBE)

Data for PmAl3Ga3 after structural relaxation.

Values from the calculation:
- N(E_F) (states/eV/cell) = 4.87

Cell and atoms, written as CIF:
```
data_PmAl3Ga3
_chemical_formula_sum 'Pm2 Al6 Ga6'
_space_group_name_H-M_alt 'P m -3 n'
_space_group_IT_number 223
_space_group_name_Hall '-P 4n 2 3'
_cell_length_a 6.9765
_cell_length_b 6.9765
_cell_length_c 6.9765
_cell_angle_alpha 90.00
_cell_angle_beta 90.00
_cell_angle_gamma 90.00
loop_
_atom_site_label
_atom_site_fract_x
_atom_site_fract_y
_atom_site_fract_z
Pm1 0.0000 0.0000 0.0000
Al1 0.0000 0.2500 0.5000
Ga1 0.0000 0.5000 0.2500
```

Arrangement 2

## PmAl3Ga3 (GGA-PBE)

Data for PmAl3Ga3 after structural relaxation.

Values from the calculation:
- N(E_F) (states/eV/cell) = 22.79

Cell and atoms, written as CIF:
```
data_PmAl3Ga3
_chemical_formula_sum 'Pm8 Al24 Ga24'
_space_group_name_H-M_alt 'F m -3 m'
_space_group_IT_number 225
_space_group_name_Hall '-F 4 2 3'
_cell_length_a 11.9418
_cell_length_b 11.9418
_cell_length_c 11.9418
_cell_angle_alpha 90.00
_cell_angle_beta 90.00
_cell_angle_gamma 90.00
loop_
_atom_site_label
_atom_site_fract_x
_atom_site_fract_y
_atom_site_fract_z
Pm1 0.2500 0.2500 0.2500
Al1 0.0000 0.0000 0.1538
Ga1 0.0000 0.0000 0.3487
```

According to the calculations, the structures order from most to least stable as arrangement 1, arrangement 2.

Arrangement 1

## Pm2Al3Ga2 (GGA-PBE)

Data for Pm2Al3Ga2 after structural relaxation.

Values from the calculation:
- N(E_F) (states/eV/cell) = 4.99

Cell and atoms, written as CIF:
```
data_Pm2Al3Ga2
_chemical_formula_sum 'Pm4 Al6 Ga4'
_space_group_name_H-M_alt 'C 1 2/m 1'
_space_group_IT_number 12
_cell_length_a 10.6709
_cell_length_b 4.2999
_cell_length_c 6.9417
_cell_angle_alpha 90.00
_cell_angle_beta 111.23
_cell_angle_gamma 90.00
loop_
_space_group_symop_operation_xyz
'x,y,z'
'-x,-y,-z'
'-x,y,-z'
'x,-y,z'
'x+1/2,y+1/2,z'
'-x+1/2,-y+1/2,-z'
'-x+1/2,y+1/2,-z'
'x+1/2,-y+1/2,z'
loop_
_atom_site_label
_atom_site_fract_x
_atom_site_fract_y
_atom_site_fract_z
Pm1 0.1448 0.0000 0.2808
Al1 0.0000 0.5000 0.5000
Al2 0.1001 0.5000 0.9254
Ga1 0.1566 0.0000 0.7520
```

Arrangement 2

## Pm2Al3Ga2 (GGA-PBE)

Data for Pm2Al3Ga2 after structural relaxation.

Values from the calculation:
- N(E_F) (states/eV/cell) = 7.63

Cell and atoms, written as CIF:
```
data_Pm2Al3Ga2
_chemical_formula_sum 'Pm4 Al6 Ga4'
_space_group_name_H-M_alt 'C 1 2/m 1'
_space_group_IT_number 12
_cell_length_a 10.7698
_cell_length_b 4.2856
_cell_length_c 6.6157
_cell_angle_alpha 90.00
_cell_angle_beta 102.48
_cell_angle_gamma 90.00
loop_
_space_group_symop_operation_xyz
'x,y,z'
'-x,-y,-z'
'-x,y,-z'
'x,-y,z'
'x+1/2,y+1/2,z'
'-x+1/2,-y+1/2,-z'
'-x+1/2,y+1/2,-z'
'x+1/2,-y+1/2,z'
loop_
_atom_site_label
_atom_site_fract_x
_atom_site_fract_y
_atom_site_fract_z
Pm1 0.1193 0.0000 0.3271
Al1 0.0000 0.5000 0.0000
Al2 0.2029 0.0000 0.8639
Ga1 0.0947 0.5000 0.6567
```

According to the calculations, the structures order from most to least stable as arrangement 1, arrangement 2.